Record 1
The following is a PBE calculation of a relaxed GdBC crystal, from Alexandria via LeMat-Bulk.

a b c (Å): 4.167 3.014 3.014
angles (deg): 120.00 90.00 90.00
Last column: magnetic moment on the atom in μB.
Sites, in units of the cell vectors:
C 0.167 0.333 0.667  -0.02
Gd 0.667 0.667 0.333  6.98
B 0.167 0.000 0.000  -0.03

Results
DOS at the Fermi energy ... 0.74 states/eV/cell
Symmetry ... No. 187
Total DFT energy (no corrections) ... -30.8 eV for the cell shown
Energy of formation ... -0.27 eV/atom



Record 2
The following is a PBE calculation of a relaxed Ta2OsI crystal, from Alexandria via LeMat-Bulk.

a b c (Å): 4.695 4.695 4.695
angles (deg): 60.00 60.00 60.00
Sites, in units of the cell vectors:
I 0.000 0.000 0.000
Os 0.500 0.500 0.500
Ta 0.250 0.250 0.250
Ta 0.750 0.750 0.750

Results
DOS at the Fermi energy ... 5.98 states/eV/cell
Symmetry ... No. 225
Formation energy (no corrections) ... 76 kJ per mole of atoms
Total DFT energy (no corrections) ... -33.4 eV for the cell shown



Record 3
The following is a PBE calculation of a relaxed Sr2NpGe4Pt3 crystal, from Alexandria via LeMat-Bulk.

a b c (Å): 4.368 4.368 11.532
angles (deg): 90.00 90.00 90.00
Last column: magnetic moment on the atom in μB.
Sites, in units of the cell vectors:
Sr 0.500 0.000 0.232  0.00
Sr 0.000 0.500 0.768  0.00
Np 0.500 0.500 0.500  3.66
Ge 0.500 0.500 0.000  0.00
Ge 0.000 0.000 0.000  -0.01
Ge 0.500 0.000 0.666  -0.04
Ge 0.000 0.500 0.334  -0.04
Pt 0.000 0.000 0.500  -0.11
Pt 0.500 0.000 0.885  0.01
Pt 0.000 0.500 0.115  0.01

Results
DOS at the Fermi energy ... 12.13 states/eV/cell
Symmetry ... No. 115
Total DFT energy (no corrections) ... -58.9 eV for the cell shown
Energy of formation ... -0.60 eV/atom



Record 4
The following is a PBE calculation of a relaxed Cs2Ce3TlF12 crystal, from Alexandria via LeMat-Bulk.

a b c (Å): 8.278 8.278 8.278
angles (deg): 65.14 65.14 65.14
Last column: magnetic moment on the atom in μB.
Sites, in units of the cell vectors:
Cs 0.627 0.627 0.627  0.00
Cs 0.373 0.373 0.373  0.00
Ce 0.500 0.000 0.000  0.95
Ce 0.000 0.500 0.000  0.95
Ce 0.000 0.000 0.500  0.95
Tl 0.000 0.000 0.000  0.02
F 0.280 0.280 0.902  -0.01
F 0.869 0.869 0.419  -0.01
F 0.419 0.869 0.869  -0.01
F 0.902 0.280 0.280  -0.01
F 0.869 0.419 0.869  -0.01
F 0.280 0.902 0.280  -0.01
F 0.720 0.720 0.098  -0.01
F 0.131 0.131 0.581  -0.01
F 0.581 0.131 0.131  -0.01
F 0.098 0.720 0.720  -0.01
F 0.131 0.581 0.131  -0.01
F 0.720 0.098 0.720  -0.01

Results
DOS at the Fermi energy ... 7.67 states/eV/cell
Symmetry ... No. 166
Formation energy (no corrections) ... -331 kJ per mole of atoms
Total DFT energy (no corrections) ... -106.1 eV for the cell shown



- DOS at the Fermi energy of number 4 (Cs2Ce3TlF12)?
  7.67 states/eV/cell